This record from Alexandria via LeMat-Bulk describes crystalline Rb2InS2 at its relaxed geometry. The functional is PBE.

Cell: 7.9740 7.9740 4.9256 Å, 90.00 90.00 90.00°
Atoms (fractional coordinates):
S 0.1847 0.3153 0.0000
S 0.3153 0.8153 0.0000
S 0.6847 0.1847 0.0000
S 0.8153 0.6847 0.0000
In 0.5000 0.5000 0.0000
In 0.0000 0.0000 0.0000
Rb 0.8602 0.3602 0.5000
Rb 0.6398 0.8602 0.5000
Rb 0.3602 0.1398 0.5000
Rb 0.1398 0.6398 0.5000

Summary:
DOS(E_F) in states/eV/f.u.: 2.4

This record from Alexandria via LeMat-Bulk describes crystalline RbInSbS3 at its relaxed geometry. The functional is PBE.

Cell: 4.6039 8.7647 10.0437 Å, 101.38 90.00 90.00°
Atoms (fractional coordinates):
In 0.7500 0.8724 0.4109
In 0.2500 0.1276 0.5891
S 0.7500 0.1831 0.4921
S 0.2500 0.5870 0.8869
S 0.7500 0.8362 0.1524
S 0.7500 0.4130 0.1131
S 0.2500 0.8169 0.5079
S 0.2500 0.1638 0.8476
Sb 0.7500 0.3550 0.8679
Sb 0.2500 0.6450 0.1321
Rb 0.7500 0.8321 0.8018
Rb 0.2500 0.1679 0.1982

Summary:
DOS(E_F) in states/eV/f.u.: 2.1

This record from Alexandria via LeMat-Bulk describes crystalline Rb2InSb2S6 at its relaxed geometry. The functional is PBE.

Cell: 6.7796 6.7796 8.3212 Å, 98.01 98.01 119.76°
Atoms (fractional coordinates):
Sb 0.3320 0.6680 0.5000
Sb 0.6680 0.3320 0.5000
S 0.3913 0.0624 0.6869
S 0.2578 0.2578 0.3141
S 0.6087 0.9376 0.3131
S 0.7422 0.7422 0.6859
S 0.9376 0.6087 0.3131
S 0.0624 0.3913 0.6869
Rb 0.8309 0.1691 0.0000
Rb 0.1691 0.8309 0.0000
In 0.0000 0.0000 0.5000

Summary:
DOS(E_F) in states/eV/f.u.: 7.5

This record from Alexandria via LeMat-Bulk describes crystalline Rb2In2Sb2S at its relaxed geometry. The functional is PBE.

Cell: 4.2488 7.1481 8.5498 Å, 73.05 90.05 72.76°
Atoms (fractional coordinates):
In 0.7985 0.4036 0.8873
In 0.2015 0.5964 0.1127
Rb 0.5033 0.9922 0.7199
Rb 0.4967 0.0078 0.2801
S 0.0000 0.0000 0.0000
Sb 0.7810 0.4374 0.3990
Sb 0.2190 0.5626 0.6010

Summary:
DOS(E_F) in states/eV/f.u.: 2.5

This record from Alexandria via LeMat-Bulk describes crystalline Rb2ScInS4 at its relaxed geometry. The functional is PBE.

Cell: 8.3198 8.3198 8.1739 Å, 119.42 119.42 90.65°
Atoms (fractional coordinates):
Rb 0.5000 0.0000 0.0000
Rb 0.5000 0.5000 0.0000
Rb 0.0000 0.0000 0.5000
Rb 0.5000 0.0000 0.5000
S 0.2280 0.2722 0.4624
S 0.1895 0.7213 0.9554
S 0.2278 0.2720 0.0376
S 0.7722 0.7280 0.9624
S 0.8105 0.2787 0.0446
S 0.2213 0.6895 0.4554
S 0.7720 0.7278 0.5376
S 0.7787 0.3105 0.5446
In 0.5000 0.5000 0.5000
In 0.0000 0.0000 0.0000
Sc 0.0000 0.5000 0.0000
Sc 0.0000 0.5000 0.5000

This record from Alexandria via LeMat-Bulk describes crystalline Rb3Sc3InS8 at its relaxed geometry. The functional is PBE.

Cell: 7.5914 7.6058 8.9788 Å, 115.16 90.00 119.94°
Atoms (fractional coordinates):
Rb 0.0000 0.5000 0.0000
Rb 0.0000 0.0000 0.0000
Rb 0.5000 0.5000 0.0000
In 0.0000 0.0000 0.5000
Sc 0.5000 0.0000 0.5000
Sc 0.5000 0.5000 0.5000
Sc 0.0000 0.5000 0.5000
S 0.2326 0.9520 0.6846
S 0.2806 0.0480 0.3154
S 0.7277 0.4554 0.6830
S 0.7674 0.0480 0.3154
S 0.2723 0.5446 0.3170
S 0.7672 0.5344 0.3154
S 0.7194 0.9520 0.6846
S 0.2328 0.4656 0.6846

Summary:
DOS(E_F) in states/eV/f.u.: 7.0

This record from Alexandria via LeMat-Bulk describes crystalline RbInSi2S6 at its relaxed geometry. The functional is PBE.

Cell: 6.4481 9.4644 9.4644 Å, 97.38 79.06 79.06°
Atoms (fractional coordinates):
S 0.1051 0.5871 0.1742
S 0.0346 0.6888 0.5969
S 0.2416 0.2184 0.0317
S 0.3949 0.8258 0.4129
S 0.4654 0.4031 0.3112
S 0.6051 0.1742 0.5871
S 0.7584 0.7816 0.9683
S 0.9654 0.3112 0.4031
S 0.7416 0.0317 0.2184
S 0.8949 0.4129 0.8258
S 0.2584 0.9683 0.7816
S 0.5346 0.5969 0.6888
Si 0.6766 0.2259 0.3715
Si 0.1766 0.3715 0.2259
Si 0.8234 0.6285 0.7741
Si 0.3234 0.7741 0.6285
In 0.7500 0.7530 0.2470
In 0.2500 0.2470 0.7530
Rb 0.7500 0.1066 0.8934
Rb 0.2500 0.8934 0.1066

Summary:
DOS(E_F) in states/eV/f.u.: 0.0

This record from Alexandria via LeMat-Bulk describes crystalline Rb4Sm3InS8 at its relaxed geometry. The functional is PBE.

Cell: 8.2476 9.0675 8.2486 Å, 117.06 120.00 90.00°
Atoms (fractional coordinates):
S 0.7735 0.3066 0.0331
S 0.2596 0.3066 0.0331
S 0.7404 0.6934 0.9669
S 0.2680 0.3040 0.5360
S 0.2265 0.6934 0.9669
S 0.7320 0.6960 0.4640
S 0.2267 0.6936 0.4534
S 0.7733 0.3064 0.5466
Sm 0.5000 0.5000 0.5000
Sm 0.0000 0.5000 0.5000
Sm 0.5000 0.5000 0.0000
Rb 0.5000 0.0000 0.0000
Rb 0.0000 0.0000 0.0000
Rb 0.5000 0.0000 0.5000
Rb 0.0000 0.0000 0.5000
In 0.0000 0.5000 0.0000

This record from Alexandria via LeMat-Bulk describes crystalline Rb2SmInS4 at its relaxed geometry. The functional is PBE.

Cell: 8.5483 8.5483 8.5831 Å, 120.12 120.12 90.71°
Atoms (fractional coordinates):
S 0.2373 0.7001 0.4686
S 0.2001 0.7373 0.9686
S 0.7627 0.2999 0.5314
S 0.7634 0.7359 0.5434
S 0.2358 0.2634 0.0434
S 0.2366 0.2642 0.4566
S 0.7641 0.7366 0.9566
S 0.7999 0.2627 0.0314
Rb 0.0000 0.0000 0.5000
Rb 0.5000 0.5000 0.0000
Rb 0.5000 0.0000 0.5000
Rb 0.5000 0.0000 0.0000
In 0.5000 0.5000 0.5000
In 0.0000 0.0000 0.0000
Sm 0.0000 0.5000 0.5000
Sm 0.0000 0.5000 0.0000

This record from Alexandria via LeMat-Bulk describes crystalline Rb3Sm3InS8 at its relaxed geometry. The functional is PBE.

Cell: 8.1678 8.1733 9.1712 Å, 116.50 90.00 119.98°
Atoms (fractional coordinates):
S 0.7418 0.9651 0.6883
S 0.2232 0.4463 0.6882
S 0.2232 0.9650 0.6882
S 0.7317 0.4634 0.6950
S 0.2683 0.5366 0.3050
S 0.7768 0.0350 0.3118
S 0.2582 0.0349 0.3117
S 0.7768 0.5537 0.3118
In 0.0000 0.0000 0.5000
Sm 0.5000 0.0000 0.5000
Sm 0.5000 0.5000 0.5000
Sm 0.0000 0.5000 0.5000
Rb 0.5000 0.5000 0.0000
Rb 0.0000 0.0000 0.0000
Rb 0.0000 0.5000 0.0000

Summary:
DOS(E_F) in states/eV/f.u.: 17.5

This record from Alexandria via LeMat-Bulk describes crystalline Rb3Sm2InS6 at its relaxed geometry. The functional is PBE.

Cell: 7.1130 7.1130 8.0750 Å, 98.46 98.46 120.00°
Atoms (fractional coordinates):
S 0.3869 0.0644 0.1932
S 0.6131 0.9356 0.8068
S 0.2580 0.2580 0.8061
S 0.0644 0.3869 0.1932
S 0.9356 0.6131 0.8068
S 0.7420 0.7420 0.1939
Sm 0.6665 0.3335 0.0000
Sm 0.3335 0.6665 0.0000
Rb 0.5000 0.5000 0.5000
Rb 0.1679 0.8321 0.5000
Rb 0.8321 0.1679 0.5000
In 0.0000 0.0000 0.0000

Summary:
DOS(E_F) in states/eV/f.u.: 0.0

This record from Alexandria via LeMat-Bulk describes crystalline Rb2InSnS4 at its relaxed geometry. The functional is PBE.

Cell: 7.1037 7.1037 7.1037 Å, 97.24 115.91 115.91°
Atoms (fractional coordinates):
In 0.5000 0.2500 0.7500
S 0.4229 0.8817 0.7894
S 0.0923 0.2106 0.6335
S 0.9077 0.5412 0.1183
S 0.5771 0.3665 0.4588
Rb 0.0000 0.0000 0.0000
Rb 0.5000 0.7500 0.2500
Sn 0.0000 0.5000 0.5000

Summary:
DOS(E_F) in states/eV/f.u.: 5.2

Number 1: magnetic moment 0.0 μB per formula unit, uncorrected formation energy -0.61 eV per atom. Number 2: magnetic moment 0.0 μB per formula unit, uncorrected formation energy -0.54 eV per atom. Number 3: magnetic moment 0.0 μB per formula unit, uncorrected formation energy -0.60 eV per atom. Number 4: magnetic moment 0.0 μB per formula unit, uncorrected formation energy -0.42 eV per atom. Number 5: magnetic moment 0.0 μB per formula unit, uncorrected formation energy -1.18 eV per atom. Number 6: magnetic moment 0.0 μB per formula unit, uncorrected formation energy -1.42 eV per atom. Number 7: magnetic moment 0.0 μB per formula unit, uncorrected formation energy -0.63 eV per atom. Number 8: magnetic moment 0.0 μB per formula unit, uncorrected formation energy -1.57 eV per atom. Number 9: magnetic moment 0.0 μB per formula unit, uncorrected formation energy -1.25 eV per atom. Number 10: magnetic moment 0.0 μB per formula unit, uncorrected formation energy -1.47 eV per atom. Number 11: magnetic moment 0.0 μB per formula unit, uncorrected formation energy -1.48 eV per atom. Number 12: magnetic moment 0.4 μB per formula unit, uncorrected formation energy -0.77 eV per atom.